# PBE Nd2Sm4TmSc, optimized geometry
# - Total energy: -38.96 eV for the cell shown
# - Space-group type: P2/m, No. 10
# - Magnetic moment: 0.0 μB/f.u.
data_Nd2Sm4TmSc
_cell_length_a 5.0806
_cell_length_b 5.0660
_cell_length_c 11.2738
_cell_angle_alpha 63.24
_cell_angle_beta 90.00
_cell_angle_gamma 90.00
_space_group_name_H-M_alt 'P 1'
_space_group_IT_number 1
_space_group_name_Hall 'P 1'
loop_
_atom_site_label
_atom_site_fract_x
_atom_site_fract_y
_atom_site_fract_z
Tm1 0.0000 0.5000 0.5000
Sm1 0.5000 0.7543 0.2459
Sc1 0.5000 0.5000 0.0000
Nd1 0.5000 0.0000 0.5000
Sm2 0.0000 0.7466 0.7534
Sm3 0.0000 0.2534 0.2466
Sm4 0.5000 0.2457 0.7541
Nd2 0.0000 0.0000 0.0000